Below is crystalline TaCd2Co at its relaxed geometry, with properties calculated at the PBE level.

Results
DOS(E_F), states/eV per cell: 2.4

POSCAR file:
```
TaCd2Co
1.0
-1.548 2.441 4.734
1.548 -2.441 4.734
1.548 2.441 -4.734
Ta Cd Co
1 2 1
direct
0.000 0.000 0.000
0.284 0.784 0.500
0.566 0.566 0.000
0.810 0.310 0.500
```


Below is crystalline Y3Ag4Hg4 at its relaxed geometry, with properties calculated at the PBE level.

Results
DOS(E_F), states/eV per cell: 4.8

POSCAR file:
```
Y3Ag4Hg4
1.0
7.699 -3.292 0.000
7.699 3.292 0.000
-0.629 0.000 5.101
Y Ag Hg
3 4 4
direct
0.000 0.000 0.000
0.341 0.341 0.208
0.659 0.659 0.792
0.069 0.595 0.710
0.405 0.931 0.290
0.595 0.069 0.710
0.931 0.405 0.290
0.176 0.176 0.784
0.268 0.732 0.500
0.732 0.268 0.500
0.824 0.824 0.216
```


Below is crystalline LaMnRu at its relaxed geometry, with properties calculated at the PBE level.

Results
DOS(E_F), states/eV per cell: 5.8

POSCAR file:
```
LaMnRu
1.0
-2.733 2.761 3.755
2.733 -2.761 3.755
2.733 2.761 -3.755
La Mn Ru
2 2 2
direct
0.382 0.132 0.250
0.618 0.868 0.750
0.000 0.000 0.500
0.000 0.500 0.000
0.000 0.500 0.500
0.500 0.500 0.000
```


no.,formation energy (meV per atom),volume (Å³ per atom)
1,319,17.89
2,-246,23.50
3,-60,18.88